No. 1
Entry from Alexandria via LeMat-Bulk: crystalline BeInTc3 at its relaxed geometry (GGA-PBE).

## Properties
E_tot: -6.926 eV/atom
Space group: Pm-3m, No. 221
Distance to the lowest polymorph of the same formula: 0.0 meV per atom

Unit cell a=4.232 b=4.232 c=4.232 alpha=90.00 beta=90.00 gamma=90.00
Sites, in units of the cell vectors:
Be: 0.000 0.000 0.000
Tc: 0.000 0.500 0.000
Tc: 0.000 0.000 0.500
Tc: 0.500 0.000 0.000
In: 0.500 0.500 0.500

No. 2
Entry from Alexandria via LeMat-Bulk: crystalline CoSi2Os at its relaxed geometry (GGA-PBE).

## Properties
E_tot: -7.423 eV/atom
Space group: I-4m2, No. 119
Formation energy (no corrections): -0.1278 eV/atom

Unit cell a=4.686 b=4.686 c=4.686 alpha=136.07 beta=136.07 gamma=63.87
Sites, in units of the cell vectors:
Co: 0.500 0.500 0.000
Os: 0.750 0.250 0.500
Si: 0.000 0.000 0.000
Si: 0.250 0.750 0.500